(1)
A PBEsol-optimized structure of NaAg2BAu. Source: Alexandria, functional meta-GGA SCAN.

The value obtained for the energy is -28.214 eV/atom.

The space group is P4/mmm (No. 123) and the conventional cell measures 4.231, 4.231 and 4.708 Å, with angles of 90.00, 90.00 and 90.00 degrees. The asymmetric unit holds Na at (0.000, 0.000, 0.000), Ag at (0.000, 0.500, 0.500), B at (0.000, 0.000, 0.500) and Au at (0.500, 0.500, 0.000).

(2)
A PBEsol-optimized structure of SrFeSi2. Source: Alexandria, functional meta-GGA SCAN.

For the uncorrected formation energy, the calculation gives -0.07 eV per atom. The value obtained for the energy is -15.179 eV/atom.

The space group is P4/mmm (No. 123) and the conventional cell measures 3.024, 3.024 and 7.082 Å, with angles of 90.00, 90.00 and 90.00 degrees. The asymmetric unit holds Sr at (0.000, 0.000, 0.000), Fe at (0.000, 0.000, 0.500) and Si at (0.500, 0.500, 0.327).

(3)
A PBEsol-optimized structure of Ga3Pb. Source: Alexandria, functional meta-GGA SCAN.

The value obtained for the energy is -30.985 eV/atom.

The space group is Fm-3m (No. 225) and the conventional cell measures 7.023, 7.023 and 7.023 Å, with angles of 90.00, 90.00 and 90.00 degrees. The asymmetric unit holds Ga at (0.000, 0.000, 0.000), Ga at (0.250, 0.250, 0.250) and Pb at (0.000, 0.000, 0.500).

(4)
A PBEsol-optimized structure of LaZnHg2. Source: Alexandria, functional meta-GGA SCAN.

The value obtained for the energy is -48.609 eV/atom.

The space group is P2/m (No. 10) and the conventional cell measures 3.297, 4.673 and 6.160 Å, with angles of 90.00, 92.70 and 90.00 degrees. The asymmetric unit holds La at (0.000, 0.000, 0.000), Zn at (0.500, 0.000, 0.500) and Hg at (0.472, 0.500, 0.737).

- The lowest energy belongs to which entry?
  LaZnHg2

- Which formula does entry 3 have?
  Ga3Pb